(1)
DFT (PBE) results for a relaxed structure of LiAl2F8.

Cell lengths 9.2043, 5.7309, 4.9456 Å; angles 90.00, 102.91, 90.00 degrees
Last column: nearest neighbours and their distance in Å.
Space group C2/m (No. 12)
Asymmetric unit:
1 Li 0.0000 0.0000 0.0000 [2 per cell]  2 F 1.88
2 Al 0.2453 0.5000 0.4572 [4 per cell]  6 F 1.72-1.88
3 F 0.0935 0.5000 0.6516 [4 per cell]  1 Al 1.86, 1 F 2.01
4 F 0.1301 0.0000 0.7550 [4 per cell]  1 Al 1.72, 1 Li 1.88
5 F 0.1569 0.2254 0.2905 [8 per cell]  2 Al 1.88

Summary:
calculated density: 2.78 g/cm3
crystal system: monoclinic
spin magnetization: 1.12 μB per formula unit
formation energy without anion corrections: -2.975 eV per atom

=====

(2)
DFT (PBE) results for a relaxed structure of LiAl4Pd2.

Cell lengths 5.4661, 7.1329, 7.1800 Å; angles 114.53, 106.46, 100.57 degrees
Last column: nearest neighbours and their distance in Å.
Space group P1 (No. 1)
Asymmetric unit:
1 Li 0.0000 0.0000 0.0000 [1 per cell]  2 Pd 2.79-2.99, 7 Al 2.84-3.10
2 Li 0.3309 0.8345 0.6612 [1 per cell]  2 Pd 2.77-3.02, 7 Al 2.84-3.10
3 Al 0.1119 0.6023 0.8506 [1 per cell]  4 Pd 2.52-2.77, 4 Al 2.74-2.78
4 Al 0.3289 0.5280 0.2023 [1 per cell]  4 Pd 2.59-2.84, 3 Al 2.71-2.78
5 Al 0.4517 0.1536 0.4547 [1 per cell]  4 Pd 2.59-2.86, 3 Al 2.72-2.81
6 Al 0.5744 0.2135 0.1041 [1 per cell]  4 Pd 2.52-2.65, 2 Al 2.65-2.77
7 Al 0.5901 0.5800 0.8082 [1 per cell]  4 Pd 2.51-2.75, 3 Al 2.73-2.75
8 Al 0.8030 0.9382 0.5560 [1 per cell]  4 Pd 2.52-2.66, 2 Al 2.67-2.79
9 Al 0.8943 0.6546 0.2218 [1 per cell]  3 Pd 2.61-2.70, 3 Al 2.67-2.73, 1 Li 2.92
10 Al 0.9933 0.2560 0.4347 [1 per cell]  3 Pd 2.58-2.70, 4 Al 2.65-2.88
11 Pd 0.2761 0.2424 0.7811 [1 per cell]  7 Al 2.54-2.77, 1 Li 2.77, 2 Pd 2.78-2.80
12 Pd 0.5663 0.8801 0.1481 [1 per cell]  7 Al 2.52-2.70
13 Pd 0.7495 0.5598 0.5079 [1 per cell]  7 Al 2.51-2.69
14 Pd 0.8234 0.2897 0.8749 [1 per cell]  7 Al 2.55-2.75, 2 Pd 2.78-2.80, 1 Li 2.79

Summary:
calculated density: 4.75 g/cm3
energy of formation: -0.503 eV/atom
crystal system: triclinic
spin magnetization: 0.00 μB per formula unit
ΔE to the lowest computed polymorph: 0.000 eV per atom

=====

(3)
DFT (PBE) results for a relaxed structure of La3Tb4Sc.

Cell lengths 11.5307, 7.3132, 6.2918 Å; angles 90.00, 90.00, 90.00 degrees
Last column: nearest neighbours and their distance in Å.
Space group Pmn2_1 (No. 31)
Asymmetric unit:
1 La 0.0000 0.1286 0.0000 [2 per cell]  4 La 3.56-3.57, 6 Tb 3.61-3.68, 2 Sc 3.66-3.71
2 La 0.2505 0.1200 0.3304 [4 per cell]  4 La 3.56-3.60, 2 Sc 3.57-3.58, 6 Tb 3.59-3.71
3 Tb 0.0000 0.3759 0.5015 [2 per cell]  6 Tb 3.50-3.65, 2 Sc 3.59-3.72, 4 La 3.61-3.64
4 Tb 0.0000 0.6253 0.9992 [2 per cell]  6 Tb 3.53-3.65, 2 Sc 3.59-3.63, 4 La 3.59-3.68
5 Tb 0.2439 0.6234 0.3391 [4 per cell]  1 Sc 3.47, 6 Tb 3.50-3.64, 5 La 3.61-3.71
6 Sc 0.0000 0.8667 0.4954 [2 per cell]  6 Tb 3.47-3.72, 6 La 3.57-3.71

Summary:
calculated density: 6.87 g/cm3
energy of formation: 0.046 eV/atom
crystal system: orthorhombic
spin magnetization: 0.00 μB per formula unit
ΔE to the lowest computed polymorph: 0.000 eV per atom

=====

(4)
DFT (PBE) results for a relaxed structure of SrTcO3.

Cell lengths 3.1877, 6.5477, 10.2176 Å; angles 90.00, 90.00, 90.00 degrees
Last column: nearest neighbours and their distance in Å.
Space group Amm2 (No. 38)
Asymmetric unit:
1 Sr 0.0000 0.0000 0.0000 [2 per cell]  4 O 2.33-2.36
2 Tc 0.5000 0.0000 0.3469 [2 per cell]  5 O 1.85-2.04
3 O 0.0000 0.1823 0.3905 [4 per cell]  2 Tc 2.04
4 O 0.5000 0.0000 0.1662 [2 per cell]  1 Tc 1.85

Summary:
calculated density: 3.64 g/cm3
crystal system: orthorhombic
spin magnetization: 1.04 μB per formula unit
formation energy without anion corrections: -1.610 eV per atom

=====

(5)
DFT (PBE) results for a relaxed structure of YAu3F.

Cell lengths 4.7104, 4.7104, 4.7104 Å; angles 90.00, 90.00, 90.00 degrees
Last column: nearest neighbours and their distance in Å.
Space group Pm-3m (No. 221)
Asymmetric unit:
1 Y 0.0000 0.0000 0.0000 [1 per cell]  12 Au 3.33
2 Au 0.0000 0.5000 0.5000 [3 per cell]  2 F 2.36
3 F 0.5000 0.5000 0.5000 [1 per cell]  6 Au 2.36

Summary:
calculated density: 11.10 g/cm3
crystal system: cubic
spin magnetization: 0.00 μB per formula unit
formation energy without anion corrections: -0.096 eV per atom

=====

(6)
DFT (PBE) results for a relaxed structure of Tb5Dy4Cd.

Cell lengths 4.0906, 4.0906, 18.3922 Å; angles 90.00, 90.00, 90.00 degrees
Last column: nearest neighbours and their distance in Å.
Space group P4/mmm (No. 123)
Asymmetric unit:
1 Tb 0.0000 0.0000 0.0000 [1 per cell]  8 Dy 3.43, 2 Tb 3.71
2 Tb 0.0000 0.0000 0.2019 [2 per cell]  8 Dy 3.41-3.44, 2 Tb 3.71-3.78
3 Tb 0.0000 0.0000 0.4076 [2 per cell]  4 Cd 3.35, 1 Tb 3.40, 4 Dy 3.50
4 Dy 0.5000 0.5000 0.1007 [2 per cell]  8 Tb 3.43-3.44, 2 Dy 3.67-3.70
5 Dy 0.5000 0.5000 0.3004 [2 per cell]  8 Tb 3.41-3.50, 1 Cd 3.67, 1 Dy 3.67
6 Cd 0.5000 0.5000 0.5000 [1 per cell]  8 Tb 3.35, 2 Dy 3.67

Summary:
calculated density: 8.40 g/cm3
energy of formation: 0.056 eV/atom
crystal system: tetragonal
spin magnetization: 0.07 μB per formula unit
ΔE to the lowest computed polymorph: 0.000 eV per atom

=====

(7)
DFT (PBE) results for a relaxed structure of Na2GaP2.

Cell lengths 8.6178, 8.6178, 2.7116 Å; angles 90.00, 90.00, 90.00 degrees
Last column: nearest neighbours and their distance in Å.
Space group P4/mbm (No. 127)
Asymmetric unit:
1 Na 0.1229 0.3771 0.0000 [4 per cell]  3 Na 2.71-3.00, 6 P 2.81-2.94
2 Ga 0.0000 0.0000 0.0000 [2 per cell]  2 Ga 2.71
3 P 0.1752 0.6752 0.5000 [4 per cell]  2 P 2.71, 6 Na 2.81-2.94

Summary:
calculated density: 2.93 g/cm3
energy of formation: 0.104 eV/atom
crystal system: tetragonal
spin magnetization: 0.00 μB per formula unit
ΔE to the lowest computed polymorph: 0.372 eV per atom

=====

(8)
DFT (PBE) results for a relaxed structure of HfGaHg2Cl.

Cell lengths 5.0851, 5.0851, 5.3464 Å; angles 90.00, 90.00, 90.00 degrees
Last column: nearest neighbours and their distance in Å.
Space group P4/mmm (No. 123)
Asymmetric unit:
1 Hf 0.0000 0.0000 0.0000 [1 per cell]  2 Ga 2.67
2 Ga 0.0000 0.0000 0.5000 [1 per cell]  4 Hg 2.54, 2 Hf 2.67
3 Hg 0.0000 0.5000 0.5000 [2 per cell]  2 Ga 2.54
4 Cl 0.5000 0.5000 0.0000 [1 per cell]  4 Hf 3.60, 8 Hg 3.69

Summary:
calculated density: 8.23 g/cm3
crystal system: tetragonal
spin magnetization: 1.21 μB per formula unit
formation energy without anion corrections: 0.379 eV per atom

=====

(9)
DFT (PBE) results for a relaxed structure of Ac4CdIn3.

Cell lengths 4.7213, 4.9407, 12.3912 Å; angles 90.00, 90.00, 90.00 degrees
Last column: nearest neighbours and their distance in Å.
Space group Pmm2 (No. 25)
Asymmetric unit:
1 Ac 0.0000 0.0000 0.0000 [1 per cell]  4 Cd 3.52, 3 In 3.52-3.64
2 Ac 0.0000 0.5000 0.4990 [1 per cell]  7 In 3.51-3.65
3 Ac 0.5000 0.0000 0.2809 [1 per cell]  5 In 3.51-3.52, 2 Cd 3.63
4 Ac 0.5000 0.5000 0.7814 [1 per cell]  6 In 3.51-3.64, 1 Cd 3.53
5 Cd 0.5000 0.5000 0.0666 [1 per cell]  2 In 3.00
6 In 0.0000 0.0000 0.7158 [1 per cell]  2 In 3.01
7 In 0.0000 0.5000 0.2157 [1 per cell]  2 Cd 3.00
8 In 0.5000 0.0000 0.5654 [1 per cell]  2 In 3.01

Summary:
calculated density: 7.84 g/cm3
energy of formation: -0.368 eV/atom
crystal system: orthorhombic
spin magnetization: 0.00 μB per formula unit
ΔE to the lowest computed polymorph: 0.020 eV per atom

=====

(10)
DFT (PBE) results for a relaxed structure of SnSb2Pb6I3.

Cell lengths 8.0236, 13.9137, 8.3140 Å; angles 90.00, 108.73, 90.00 degrees
Last column: nearest neighbours and their distance in Å.
Space group C2/m (No. 12)
Asymmetric unit:
1 Sn 0.0000 0.0000 0.0000 [2 per cell]  6 Pb 3.11
2 Sb 0.0000 0.3336 0.0000 [4 per cell]  6 Pb 3.15
3 Pb 0.2332 0.1646 0.2071 [8 per cell]  1 Sn 3.11, 2 Sb 3.15
4 Pb 0.2400 0.5000 0.2088 [4 per cell]  1 Sn 3.11, 2 Sb 3.15
5 I 0.0000 0.1667 0.5000 [4 per cell]  6 Pb 3.51-3.56
6 I 0.0000 0.5000 0.5000 [2 per cell]  6 Pb 3.52-3.54

Summary:
calculated density: 7.50 g/cm3
crystal system: monoclinic
spin magnetization: 0.00 μB per formula unit
formation energy without anion corrections: -0.203 eV per atom

=====

(11)
DFT (PBE) results for a relaxed structure of TlIn2Rh.

Cell lengths 3.2041, 3.2041, 8.8463 Å; angles 90.00, 90.00, 90.00 degrees
Last column: nearest neighbours and their distance in Å.
Space group P4/mmm (No. 123)
Asymmetric unit:
1 Tl 0.0000 0.0000 0.0000 [1 per cell]  4 Tl 3.20, 8 In 3.55
2 In 0.5000 0.5000 0.3086 [2 per cell]  4 Rh 2.83
3 Rh 0.0000 0.0000 0.5000 [1 per cell]  8 In 2.83

Summary:
calculated density: 9.82 g/cm3
energy of formation: -0.136 eV/atom
crystal system: tetragonal
spin magnetization: 0.00 μB per formula unit
ΔE to the lowest computed polymorph: 0.000 eV per atom

=====

(12)
DFT (PBE) results for a relaxed structure of KTeBr2.

Cell lengths 4.3275, 4.3418, 7.8991 Å; angles 90.00, 90.00, 90.00 degrees
Last column: nearest neighbours and their distance in Å.
Space group Pmmm (No. 47)
Asymmetric unit:
1 K 0.0000 0.0000 0.0000 [1 per cell]  4 Br 3.07
2 Te 0.0000 0.5000 0.5000 [1 per cell]  4 Br 3.07
3 Br 0.5000 0.0000 0.5000 [1 per cell]  4 Te 3.07
4 Br 0.5000 0.5000 0.0000 [1 per cell]  4 K 3.07

Summary:
calculated density: 3.65 g/cm3
crystal system: orthorhombic
spin magnetization: 0.00 μB per formula unit
formation energy without anion corrections: -0.633 eV per atom
ΔE to the lowest computed polymorph: 0.155 eV per atom

=====

What did the tenth record say?
DFT (PBE) results for a relaxed structure of SnSb2Pb6I3.

Cell lengths 8.0236, 13.9137, 8.3140 Å; angles 90.00, 108.73, 90.00 degrees
Last column: nearest neighbours and their distance in Å.
Space group C2/m (No. 12)
Asymmetric unit:
1 Sn 0.0000 0.0000 0.0000 [2 per cell]  6 Pb 3.11
2 Sb 0.0000 0.3336 0.0000 [4 per cell]  6 Pb 3.15
3 Pb 0.2332 0.1646 0.2071 [8 per cell]  1 Sn 3.11, 2 Sb 3.15
4 Pb 0.2400 0.5000 0.2088 [4 per cell]  1 Sn 3.11, 2 Sb 3.15
5 I 0.0000 0.1667 0.5000 [4 per cell]  6 Pb 3.51-3.56
6 I 0.0000 0.5000 0.5000 [2 per cell]  6 Pb 3.52-3.54

Summary:
calculated density: 7.50 g/cm3
crystal system: monoclinic
spin magnetization: 0.00 μB per formula unit
formation energy without anion corrections: -0.203 eV per atom